The following is a DFT calculation (PBE+U) of crystalline PuMnO2 at its relaxed geometry.

a b c (Å): 3.4040 3.4040 6.5773
angles (deg): 75.00 75.00 60.00
Site moments in Bohr magnetons follow the coordinates.
Sites, in units of the cell vectors:
1 Mn 0.5000 0.5000 0.5000  4.60
2 O 0.1092 0.1092 0.6725  -0.07
3 O 0.8908 0.8908 0.3275  -0.07
4 Pu 0.0000 0.0000 0.0000  4.65

DOS at the Fermi energy (states/eV/cell): 3.84
Magnetic moment (Bohr magnetons per cell): 9.45
Total DFT energy (no corrections) (eV per atom): -9.67